[1]
Material: Tb8Ge3CS3
Method: DFT, PBE
State: optimized geometry

Cell: 7.9748 7.9748 20.0236 Å, 90.00 90.00 120.00°
Space group R-3m (No. 166, hexagonal axes)
Unique sites:
Tb1 0.0000 0.0000 0.2489
Tb2 0.0320 0.5160 0.2411
Ge1 0.0000 0.5000 0.0000
C1 0.0000 0.0000 0.5000
S1 0.0000 0.5000 0.5000

Formation energy without anion corrections = -1.19 eV per atom
Volume = 24.5 Å³ per atom
Total DFT energy (no corrections) = -6.022 eV per atom
Total magnetization = 0.083 μB/atom

***

[2]
Material: Th4Ge2CS
Method: DFT, PBE
State: optimized geometry

Cell: 7.111 4.104 7.184 Å, 90.00 109.18 90.00°
Space group P2/m (No. 10)
Unique sites:
Th1 0.223 0.000 0.224
Th2 0.231 0.500 0.764
Ge1 0.500 0.000 0.000
Ge2 0.500 0.500 0.500
C1 0.000 0.500 0.000
S1 0.000 0.000 0.500

Formation energy without anion corrections = -0.88 eV per atom
Volume = 24.8 Å³ per atom
Total DFT energy (no corrections) = -7.409 eV per atom
Total magnetization = 0.000 μB/atom

***

[3]
Material: Th6Ge2C3S
Method: DFT, PBE
State: optimized geometry

Cell: 17.781 3.870 8.278 Å, 90.00 106.56 90.00°
Space group C2/m (No. 12)
Unique sites:
Th1 0.007 0.000 0.229
Th2 0.157 0.500 0.108
Th3 0.172 0.500 0.559
Ge1 0.167 0.000 0.834
C1 0.000 0.500 0.000
C2 0.166 0.000 0.339
S1 0.000 0.500 0.500

Formation energy without anion corrections = -0.69 eV per atom
Volume = 22.8 Å³ per atom
Total DFT energy (no corrections) = -7.821 eV per atom
Total magnetization = 0.000 μB/atom

***

[4]
Material: Th6GeC2S3
Method: DFT, PBE
State: optimized geometry

Cell: 17.586 3.972 8.170 Å, 90.00 104.23 90.00°
Space group C2/m (No. 12)
Unique sites:
Th1 0.015 0.000 0.263
Th2 0.171 0.500 0.118
Th3 0.175 0.500 0.565
Ge1 0.000 0.500 0.000
C1 0.172 0.000 0.337
S1 0.000 0.500 0.500
S2 0.161 0.000 0.833

Formation energy without anion corrections = -1.19 eV per atom
Volume = 23.1 Å³ per atom
Total DFT energy (no corrections) = -7.851 eV per atom
Total magnetization = 0.000 μB/atom

***

[5]
Material: Th6Ge3C2S
Method: DFT, PBE
State: optimized geometry

Cell: 17.864 4.058 8.276 Å, 90.00 103.53 90.00°
Space group C2/m (No. 12)
Unique sites:
Th1 0.016 0.000 0.256
Th2 0.171 0.500 0.113
Th3 0.175 0.500 0.565
Ge1 0.000 0.500 0.500
Ge2 0.160 0.000 0.833
C1 0.169 0.000 0.333
S1 0.000 0.500 0.000

Formation energy without anion corrections = -0.73 eV per atom
Volume = 24.3 Å³ per atom
Total DFT energy (no corrections) = -7.474 eV per atom
Total magnetization = 0.000 μB/atom

***

[6]
Material: Th4GeCS2
Method: DFT, PBE
State: optimized geometry

Cell: 7.360 7.410 7.593 Å, 90.00 90.00 90.00°
Space group I222 (No. 23)
Unique sites:
Th1 0.189 0.177 0.196
Ge1 0.000 0.500 0.000
C1 0.000 0.000 0.000
S1 0.000 0.259 0.500

Formation energy without anion corrections = -0.80 eV per atom
Volume = 25.9 Å³ per atom
Total DFT energy (no corrections) = -7.276 eV per atom
Total magnetization = 0.000 μB/atom

***

volume of number 1 (Tb8Ge3CS3)?
24.5 Å³ per atom

***

Repeat the fifth record exactly.
Material: Th6Ge3C2S
Method: DFT, PBE
State: optimized geometry

Cell: 17.864 4.058 8.276 Å, 90.00 103.53 90.00°
Space group C2/m (No. 12)
Unique sites:
Th1 0.016 0.000 0.256
Th2 0.171 0.500 0.113
Th3 0.175 0.500 0.565
Ge1 0.000 0.500 0.500
Ge2 0.160 0.000 0.833
C1 0.169 0.000 0.333
S1 0.000 0.500 0.000

Formation energy without anion corrections = -0.73 eV per atom
Volume = 24.3 Å³ per atom
Total DFT energy (no corrections) = -7.474 eV per atom
Total magnetization = 0.000 μB/atom

***

Among the records above, which one has the highest volume?
Th4GeCS2

***

What did the fifth record say?
Material: Th6Ge3C2S
Method: DFT, PBE
State: optimized geometry

Cell: 17.864 4.058 8.276 Å, 90.00 103.53 90.00°
Space group C2/m (No. 12)
Unique sites:
Th1 0.016 0.000 0.256
Th2 0.171 0.500 0.113
Th3 0.175 0.500 0.565
Ge1 0.000 0.500 0.500
Ge2 0.160 0.000 0.833
C1 0.169 0.000 0.333
S1 0.000 0.500 0.000

Formation energy without anion corrections = -0.73 eV per atom
Volume = 24.3 Å³ per atom
Total DFT energy (no corrections) = -7.474 eV per atom
Total magnetization = 0.000 μB/atom